# K2RbNiF6 | Alexandria | PBE+U | relaxed
data_K2RbNiF6
_chemical_formula_sum 'K4 Rb2 Ni2 F12'
_symmetry_space_group_name_H-M 'P 1 21/c 1'
_symmetry_Int_Tables_number 14
_symmetry_space_group_name_Hall '-P 2ybc'
_cell_length_a 6.1925
_cell_length_b 6.4635
_cell_length_c 10.7763
_cell_angle_alpha 90.00
_cell_angle_beta 125.02
_cell_angle_gamma 90.00
loop_
_atom_site_label
_atom_site_type_symbol
_atom_site_fract_x
_atom_site_fract_y
_atom_site_fract_z
K1 K 0.2367 0.0501 0.2541
Rb1 Rb 0.5000 0.0000 0.0000
Ni1 Ni 0.0000 0.0000 0.5000
F1 F 0.0792 0.2420 0.4264
F2 F 0.2056 0.6657 0.9561
F3 F 0.3090 0.0573 0.7005
# Calculated total energy = -4.12 eV per atom
# Calculated density = 3.16 g/cm³